This record from Alexandria describes a relaxed structure of Tb2NdSm2Y2. The functional is GGA-PBE.

## Properties
- V: 461.8 Å³/cell
- Theoretical density: 6.76 Mg/m³
- Calculated formation energy: 0.015 eV per atom
- Final energy: -0.1905 Ha/atom
- Crystal system: monoclinic

```
data_Tb2NdSm2Y2
_chemical_formula_sum 'Tb4 Nd2 Sm4 Y4'
_cell_length_a 11.366
_cell_length_b 5.093
_cell_length_c 8.056
_cell_angle_alpha 90.00
_cell_angle_beta 97.98
_cell_angle_gamma 90.00
_symmetry_space_group_name_H-M 'C 1 2/m 1'
_symmetry_Int_Tables_number 12
loop_
_symmetry_equiv_pos_as_xyz
'x,y,z'
'-x,-y,-z'
'-x,y,-z'
'x,-y,z'
'x+1/2,y+1/2,z'
'-x+1/2,-y+1/2,-z'
'-x+1/2,y+1/2,-z'
'x+1/2,-y+1/2,z'
loop_
_atom_site_label
_atom_site_type_symbol
_atom_site_fract_x
_atom_site_fract_y
_atom_site_fract_z
Tb1 Tb 0.143 0.000 0.430
Nd1 Nd 0.000 0.000 0.000
Sm1 Sm 0.072 0.500 0.713
Y1 Y 0.214 0.500 0.145
```